# LiGdGa | Alexandria via LeMat-Bulk | GGA-PBE | optimized geometry
data_LiGdGa
_symmetry_space_group_name_H-M 'I 4 m m'
_symmetry_Int_Tables_number 107
_symmetry_space_group_name_Hall 'I 4 -2'
_cell_length_a 3.4232
_cell_length_b 3.4232
_cell_length_c 11.0324
_cell_angle_alpha 90.00
_cell_angle_beta 90.00
_cell_angle_gamma 90.00
loop_
_atom_site_label
_atom_site_fract_x
_atom_site_fract_y
_atom_site_fract_z
Li1 0.0000 0.0000 0.0000
Gd1 0.0000 0.0000 0.7088
Ga1 0.0000 0.0000 0.3870
# D(E_F): 0.61 states/eV per atom
# ρ: 6.01 Mg/m³
# crystal system: tetragonal
# energy relative to the elements: -0.25 eV per atom
# polymorph energy (0 for the lowest one): 0.112 eV/atom

=====

# Sr2CoBr | Alexandria via LeMat-Bulk | GGA-PBE | optimized geometry
data_Sr2CoBr
_symmetry_space_group_name_H-M 'I -4 2 d'
_symmetry_Int_Tables_number 122
_symmetry_space_group_name_Hall 'I -4 2bw'
_cell_length_a 7.7984
_cell_length_b 7.7984
_cell_length_c 8.8754
_cell_angle_alpha 90.00
_cell_angle_beta 90.00
_cell_angle_gamma 90.00
loop_
_atom_site_label
_atom_site_fract_x
_atom_site_fract_y
_atom_site_fract_z
Sr1 0.2171 0.2500 0.1250
Co1 0.0000 0.0000 0.0000
Br1 0.0000 0.0000 0.5000
# ΔE_f (raw): -0.173 eV per atom
# D(E_F): 2.07 states/eV per atom
# ρ: 3.87 Mg/m³
# crystal system: tetragonal
# polymorph energy (0 for the lowest one): 0.264 eV/atom

=====

no.,magnetization (Bohr magnetons per cell),DFT total energy (eV/cell)
1,15.9,-39.6
2,1.4,-51.3